Record 1
An optimized crystal structure of GdPa2Sb. Source: the Alexandria database, functional PBE.

Unit cell a=4.4835 b=4.4835 c=5.0598 alpha=90.00 beta=90.00 gamma=90.00
With the nearest neighbours (Å) after each atom.
Space group P4/mmm (No. 123)
Inequivalent atoms, fractional coordinates:
Gd 0.0000 0.0000 0.0000 x1  4 Sb 3.17, 8 Pa 3.38
Pa 0.0000 0.5000 0.5000 x2  4 Pa 3.17, 4 Gd 3.38, 4 Sb 3.38
Sb 0.5000 0.5000 0.0000 x1  4 Gd 3.17, 8 Pa 3.38

## Properties
Size of the total moment: 5.8 μB/f.u.
Uncorrected formation energy: -0.2858 eV/atom
E: -9.58 eV/atom
Density: 12.10 g cm⁻³

***

Record 2
An optimized crystal structure of GdPaSbTe. Source: the Alexandria database, functional PBE.

Unit cell a=7.5423 b=7.5423 c=7.5423 alpha=90.00 beta=90.00 gamma=90.00
With the nearest neighbours (Å) after each atom.
Space group F-43m (No. 216)
Inequivalent atoms, fractional coordinates:
Gd 0.0000 0.0000 0.0000 x4  4 Te 3.27, 4 Sb 3.27
Pa 0.0000 0.0000 0.5000 x4  4 Sb 3.27, 4 Te 3.27
Sb 0.2500 0.2500 0.7500 x4  4 Gd 3.27, 4 Pa 3.27
Te 0.2500 0.2500 0.2500 x4  4 Gd 3.27, 4 Pa 3.27

## Properties
Size of the total moment: 9.0 μB/f.u.
Uncorrected formation energy: -0.7940 eV/atom
E: -8.50 eV/atom
Density: 9.87 g cm⁻³

***

Record 3
An optimized crystal structure of GdSc2Pa. Source: the Alexandria database, functional PBE.

Unit cell a=7.5076 b=7.5076 c=7.5076 alpha=90.00 beta=90.00 gamma=90.00
With the nearest neighbours (Å) after each atom.
Space group Fm-3m (No. 225)
Inequivalent atoms, fractional coordinates:
Gd 0.0000 0.0000 0.0000 x4  8 Sc 3.25
Sc 0.2500 0.2500 0.2500 x8  4 Gd 3.25, 4 Pa 3.25
Pa 0.0000 0.0000 0.5000 x4  8 Sc 3.25

## Properties
Calculated formation energy: 230 meV/atom
Size of the total moment: 7.2 μB/f.u.
E: -8.83 eV/atom
Density: 7.51 g cm⁻³
Polymorph energy (0 for the lowest one): 124 meV/atom

***

Record 4
An optimized crystal structure of Gd2ScPa. Source: the Alexandria database, functional PBE.

Unit cell a=4.8159 b=4.8159 c=4.8061 alpha=90.00 beta=90.00 gamma=90.00
With the nearest neighbours (Å) after each atom.
Space group P4/mmm (No. 123)
Inequivalent atoms, fractional coordinates:
Gd 0.0000 0.5000 0.0000 x2  4 Pa 3.40, 4 Sc 3.40, 4 Gd 3.41
Sc 0.0000 0.0000 0.5000 x1  8 Gd 3.40, 4 Pa 3.41
Pa 0.5000 0.5000 0.5000 x1  8 Gd 3.40, 4 Sc 3.41

## Properties
Calculated formation energy: 222 meV/atom
Size of the total moment: 13.8 μB/f.u.
E: -10.77 eV/atom
Density: 8.80 g cm⁻³
Polymorph energy (0 for the lowest one): 74 meV/atom

***

Record 5
An optimized crystal structure of Gd2ScPa. Source: the Alexandria database, functional PBE.

Unit cell a=3.3594 b=3.3594 c=9.9140 alpha=90.00 beta=90.00 gamma=90.00
With the nearest neighbours (Å) after each atom.
Space group P4/mmm (No. 123)
Inequivalent atoms, fractional coordinates:
Gd 0.0000 0.0000 0.2427 x2  4 Gd 3.36, 4 Pa 3.38, 4 Sc 3.49
Sc 0.5000 0.5000 0.5000 x1  4 Sc 3.36, 8 Gd 3.49
Pa 0.5000 0.5000 0.0000 x1  4 Pa 3.36, 8 Gd 3.38

## Properties
Calculated formation energy: 148 meV/atom
Size of the total moment: 13.6 μB/f.u.
E: -10.85 eV/atom
Density: 8.76 g cm⁻³
Polymorph energy (0 for the lowest one): 0 meV/atom

***

Record 6
An optimized crystal structure of Gd2ScPa. Source: the Alexandria database, functional PBE.

Unit cell a=3.2768 b=3.2768 c=35.8140 alpha=90.00 beta=90.00 gamma=120.00
With the nearest neighbours (Å) after each atom.
Space group R-3m (No. 166, hexagonal axes)
Inequivalent atoms, fractional coordinates:
Gd 0.0000 0.0000 0.0884 x6  1 Pa 3.17, 6 Gd 3.28, 3 Sc 3.38
Sc 0.0000 0.0000 0.5000 x3  6 Sc 3.28, 6 Gd 3.38
Pa 0.0000 0.0000 0.0000 x3  2 Gd 3.17, 6 Pa 3.28

## Properties
Calculated formation energy: 269 meV/atom
Size of the total moment: 14.2 μB/f.u.
E: -10.73 eV/atom
Density: 8.83 g cm⁻³
Polymorph energy (0 for the lowest one): 121 meV/atom

***

Record 7
An optimized crystal structure of GdSc2Pa. Source: the Alexandria database, functional PBE.

Unit cell a=3.3088 b=3.3088 c=9.6287 alpha=90.00 beta=90.00 gamma=90.00
With the nearest neighbours (Å) after each atom.
Space group P4/mmm (No. 123)
Inequivalent atoms, fractional coordinates:
Gd 0.0000 0.0000 0.0000 x1  4 Gd 3.31, 8 Sc 3.49
Sc 0.5000 0.5000 0.2686 x2  4 Pa 3.23, 4 Sc 3.31, 4 Gd 3.49
Pa 0.0000 0.0000 0.5000 x1  8 Sc 3.23, 4 Pa 3.31

## Properties
Calculated formation energy: 107 meV/atom
Size of the total moment: 7.4 μB/f.u.
E: -8.95 eV/atom
Density: 7.53 g cm⁻³
Polymorph energy (0 for the lowest one): 0 meV/atom

***

Record 8
An optimized crystal structure of GdSc2Pa. Source: the Alexandria database, functional PBE.

Unit cell a=4.7047 b=4.7047 c=4.6953 alpha=90.00 beta=90.00 gamma=90.00
With the nearest neighbours (Å) after each atom.
Space group P4/mmm (No. 123)
Inequivalent atoms, fractional coordinates:
Gd 0.0000 0.0000 0.0000 x1  8 Sc 3.32, 4 Pa 3.33
Sc 0.0000 0.5000 0.5000 x2  4 Gd 3.32, 4 Pa 3.32, 4 Sc 3.33
Pa 0.5000 0.5000 0.0000 x1  8 Sc 3.32, 4 Gd 3.33

## Properties
Calculated formation energy: 179 meV/atom
Size of the total moment: 7.0 μB/f.u.
E: -8.88 eV/atom
Density: 7.64 g cm⁻³
Polymorph energy (0 for the lowest one): 73 meV/atom